A relaxed Nb3ZnP crystal. Source: Alexandria, functional GGA-PBEsol.

Results
- Energy of formation: 337.8 meV per atom
- Density: 6.50 g/cm³

Cell and atoms, written as CIF:
```
data_Nb3ZnP
_chemical_formula_sum 'Nb3 Zn1 P1'
_symmetry_space_group_name_H-M 'P m -3 m'
_symmetry_Int_Tables_number 221
_symmetry_space_group_name_Hall '-P 4 2 3'
_cell_length_a 4.5750
_cell_length_b 4.5750
_cell_length_c 4.5750
_cell_angle_alpha 90.00
_cell_angle_beta 90.00
_cell_angle_gamma 90.00
loop_
_atom_site_label
_atom_site_type_symbol
_atom_site_fract_x
_atom_site_fract_y
_atom_site_fract_z
Nb1 Nb 0.0000 0.0000 0.5000
Zn1 Zn 0.5000 0.5000 0.5000
P1 P 0.0000 0.0000 0.0000
```